Version one
Material: NaAgAs
Method: DFT, GGA-PBE
State: optimized geometry Values from VASP.

Geometry as Quantum ESPRESSO input:
```
&SYSTEM
  ibrav = 0, nat = 3, ntyp = 3
/
ATOMIC_SPECIES
Ag 107.87 Ag.upf
As 74.92 As.upf
Na 22.99 Na.upf
CELL_PARAMETERS angstrom
-4.009 -1.883 -1.090
-3.662 2.643 -0.643
-1.711 0.545 -4.193
ATOMIC_POSITIONS angstrom
Ag -2.346 0.326 -1.482
As -7.037 0.979 -4.445
Na 0.000 0.000 0.000
```

Results
Density = 5.09 g cm⁻³

Version two
Material: NaAgAs
Method: DFT, GGA-PBE
State: optimized geometry Values from VASP.

Geometry as Quantum ESPRESSO input:
```
&SYSTEM
  ibrav = 0, nat = 3, ntyp = 3
/
ATOMIC_SPECIES
Ag 107.87 Ag.upf
As 74.92 As.upf
Na 22.99 Na.upf
CELL_PARAMETERS angstrom
-1.161 -4.127 -1.542
-3.129 -0.406 -3.286
1.247 -1.302 -4.184
ATOMIC_POSITIONS angstrom
Ag -0.761 -1.459 -2.253
As 0.000 0.000 0.000
Na -2.283 -4.376 -6.759
```

Results
Density = 5.11 g cm⁻³

Energies in meV per atom, measured from the most stable structure: version one 384; version two 0.

Version one
Material: NaAgAsO
Method: DFT, GGA-PBE
State: optimized geometry Values from VASP.

Geometry as Quantum ESPRESSO input:
```
&SYSTEM
  ibrav = 0, nat = 8, ntyp = 4
/
ATOMIC_SPECIES
Ag 107.87 Ag.upf
As 74.92 As.upf
Na 22.99 Na.upf
O 16.00 O.upf
CELL_PARAMETERS angstrom
3.296 0.000 0.000
0.000 7.779 0.000
0.000 0.000 5.398
ATOMIC_POSITIONS angstrom
Ag 1.648 2.175 0.001
Ag 1.648 5.604 2.700
As 0.000 7.564 2.694
As 0.000 0.215 5.393
Na 0.000 4.823 0.012
Na 0.000 2.956 2.711
O 1.648 3.881 1.362
O 1.648 3.898 4.061
```

Results
Density = 5.32 g cm⁻³

Version two
Material: NaAgAsO
Method: DFT, GGA-PBE
State: optimized geometry Values from VASP.

Geometry as Quantum ESPRESSO input:
```
&SYSTEM
  ibrav = 0, nat = 8, ntyp = 4
/
ATOMIC_SPECIES
Ag 107.87 Ag.upf
As 74.92 As.upf
Na 22.99 Na.upf
O 16.00 O.upf
CELL_PARAMETERS angstrom
4.051 0.000 0.000
0.000 7.519 0.000
0.000 0.000 4.669
ATOMIC_POSITIONS angstrom
Ag 0.000 6.020 2.050
Ag 0.000 1.499 4.385
As 0.000 3.301 2.029
As 0.000 4.217 4.364
Na 2.026 1.103 2.057
Na 2.026 6.415 4.392
O 2.026 6.408 2.053
O 2.026 1.111 4.388
```

Results
Density = 5.18 g cm⁻³

Energies in meV per atom, measured from the most stable structure: version one 0; version two 94.

Version one
Material: NaAgAsO
Method: DFT, GGA-PBE
State: optimized geometry Values from VASP.

Geometry as Quantum ESPRESSO input:
```
&SYSTEM
  ibrav = 0, nat = 8, ntyp = 4
/
ATOMIC_SPECIES
Ag 107.87 Ag.upf
As 74.92 As.upf
Na 22.99 Na.upf
O 16.00 O.upf
CELL_PARAMETERS angstrom
4.220 0.000 0.000
0.000 4.220 0.000
0.000 0.000 8.245
ATOMIC_POSITIONS angstrom
Ag 0.000 2.110 2.024
Ag 2.110 0.000 6.221
As 2.110 0.000 0.744
As 0.000 2.110 7.501
Na 0.000 0.000 4.122
Na 2.110 2.110 4.122
O 0.000 0.000 0.000
O 2.110 2.110 0.000
```

Results
Density = 5.02 g cm⁻³

Version two
Material: NaAgAsO
Method: DFT, GGA-PBE
State: optimized geometry Values from VASP.

Geometry as Quantum ESPRESSO input:
```
&SYSTEM
  ibrav = 0, nat = 8, ntyp = 4
/
ATOMIC_SPECIES
Ag 107.87 Ag.upf
As 74.92 As.upf
Na 22.99 Na.upf
O 16.00 O.upf
CELL_PARAMETERS angstrom
4.248 0.000 0.000
0.000 4.248 0.000
0.000 0.000 6.740
ATOMIC_POSITIONS angstrom
Ag 3.186 1.062 3.370
Ag 1.062 3.186 3.370
As 3.186 3.186 1.695
As 1.062 1.062 5.045
Na 1.062 1.062 1.007
Na 3.186 3.186 5.734
O 3.186 1.062 0.000
O 1.062 3.186 0.000
```

Results
Density = 6.06 g cm⁻³

Energies in meV per atom, measured from the most stable structure: version one 193; version two 0.

Version one
Material: NdAgAsO
Method: DFT, GGA-PBE
State: optimized geometry Values from VASP.

Geometry as Quantum ESPRESSO input:
```
&SYSTEM
  ibrav = 0, nat = 8, ntyp = 4
/
ATOMIC_SPECIES
Ag 107.87 Ag.upf
As 74.92 As.upf
Nd 144.24 Nd.upf
O 16.00 O.upf
CELL_PARAMETERS angstrom
4.103 0.000 0.000
0.000 4.103 0.000
0.000 0.000 9.178
ATOMIC_POSITIONS angstrom
Ag 0.000 0.000 4.589
Ag 2.051 2.051 4.589
As 2.051 0.000 2.857
As 0.000 2.051 6.322
Nd 0.000 2.051 1.158
Nd 2.051 0.000 8.021
O 0.000 0.000 0.000
O 2.051 2.051 0.000
```

Results
Density = 7.37 g cm⁻³
Size of the total moment = 0.02 μB/cell

Version two
Material: NdAgAsO
Method: DFT, GGA-PBE
State: optimized geometry Values from VASP.

Geometry as Quantum ESPRESSO input:
```
&SYSTEM
  ibrav = 0, nat = 8, ntyp = 4
/
ATOMIC_SPECIES
Ag 107.87 Ag.upf
As 74.92 As.upf
Nd 144.24 Nd.upf
O 16.00 O.upf
CELL_PARAMETERS angstrom
4.408 0.000 0.000
0.000 6.553 0.000
0.000 0.000 5.646
ATOMIC_POSITIONS angstrom
Ag 0.000 4.227 0.033
Ag 0.000 2.327 2.856
As 0.000 6.409 1.607
As 0.000 0.144 4.430
Nd 2.204 1.680 0.309
Nd 2.204 4.873 3.132
O 2.204 2.798 2.308
O 2.204 3.755 5.131
```

Results
Density = 6.99 g cm⁻³
Size of the total moment = 0.00 μB/cell

Energies in meV per atom, measured from the most stable structure: version one 0; version two 364.

Version one
Material: AgAs2O
Method: DFT, GGA-PBE
State: optimized geometry Values from VASP.

Geometry as Quantum ESPRESSO input:
```
&SYSTEM
  ibrav = 0, nat = 8, ntyp = 3
/
ATOMIC_SPECIES
Ag 107.87 Ag.upf
As 74.92 As.upf
O 16.00 O.upf
CELL_PARAMETERS angstrom
4.433 0.000 0.000
0.000 4.433 0.000
0.000 0.000 8.020
ATOMIC_POSITIONS angstrom
Ag 0.000 2.216 0.271
Ag 2.216 0.000 7.749
As 2.216 0.000 2.657
As 0.000 0.000 4.010
As 2.216 2.216 4.010
As 0.000 2.216 5.363
O 0.000 0.000 0.000
O 2.216 2.216 0.000
```

Results
Density = 5.77 g cm⁻³

Version two
Material: AgAs2O
Method: DFT, GGA-PBE
State: optimized geometry Values from VASP.

Geometry as Quantum ESPRESSO input:
```
&SYSTEM
  ibrav = 0, nat = 8, ntyp = 3
/
ATOMIC_SPECIES
Ag 107.87 Ag.upf
As 74.92 As.upf
O 16.00 O.upf
CELL_PARAMETERS angstrom
-1.346 0.762 -3.434
-1.853 -3.279 -0.001
-7.451 4.211 3.857
ATOMIC_POSITIONS angstrom
Ag -3.726 2.105 1.928
Ag -5.325 0.847 0.211
As -1.771 -1.162 0.436
As -2.814 1.591 -0.609
As -6.237 1.362 2.748
As -7.280 4.115 1.703
O 0.000 0.000 0.000
O -1.600 -1.258 -1.717
```

Results
Density = 6.83 g cm⁻³

Energies in meV per atom, measured from the most stable structure: version one 204; version two 0.

Version one
Material: PaAgAsO
Method: DFT, GGA-PBE
State: optimized geometry Values from VASP.

Geometry as Quantum ESPRESSO input:
```
&SYSTEM
  ibrav = 0, nat = 8, ntyp = 4
/
ATOMIC_SPECIES
Ag 107.87 Ag.upf
As 74.92 As.upf
O 16.00 O.upf
Pa 231.04 Pa.upf
CELL_PARAMETERS angstrom
4.401 0.000 0.000
0.000 5.642 0.000
0.000 0.000 7.060
ATOMIC_POSITIONS angstrom
Ag 0.000 0.375 3.463
Ag 0.000 5.267 6.993
As 0.000 3.897 2.085
As 0.000 1.745 5.615
O 2.200 1.653 2.704
O 2.200 3.989 6.234
Pa 2.200 2.310 0.602
Pa 2.200 3.332 4.132
```

Results
Density = 8.14 g cm⁻³
Size of the total moment = 2.00 μB/cell

Version two
Material: PaAgAsO
Method: DFT, GGA-PBE
State: optimized geometry Values from VASP.

Geometry as Quantum ESPRESSO input:
```
&SYSTEM
  ibrav = 0, nat = 8, ntyp = 4
/
ATOMIC_SPECIES
Ag 107.87 Ag.upf
As 74.92 As.upf
O 16.00 O.upf
Pa 231.04 Pa.upf
CELL_PARAMETERS angstrom
-1.297 3.748 -0.634
-0.088 -0.699 -3.954
-8.487 -2.820 0.687
ATOMIC_POSITIONS angstrom
Ag -5.238 1.226 -1.121
Ag -4.633 -0.997 -2.781
As -3.510 1.465 -3.241
As -6.361 -1.236 -0.660
O -0.994 2.636 -1.464
O -0.390 0.413 -3.124
Pa -1.619 0.339 -1.044
Pa -8.252 -0.110 -2.857
```

Results
Density = 9.87 g cm⁻³
Size of the total moment = 2.00 μB/cell

Energies in meV per atom, measured from the most stable structure: version one 347; version two 0.